VASP calculation (PBE-GGA) on a relaxed PmNd5Dy2Y crystal.

Summary:
The value obtained for the formation energy is 1.3 eV per formula unit. The calculation puts the density of states at the Fermi level at 28.84 states/eV/cell.

Lattice parameters (Å, degrees): 5.6898 10.6637 10.7346 90.00 90.00 105.47
Fractional positions:
Pm 0.2008 0.4016 0.0102
Pm 0.7992 0.5984 0.5102
Nd 0.0156 0.0311 0.0205
Nd 0.4802 0.9604 0.7430
Nd 0.2967 0.5934 0.7050
Nd 0.9844 0.9689 0.5205
Nd 0.7204 0.4409 0.8101
Nd 0.7033 0.4066 0.2050
Nd 0.6100 0.2200 0.5248
Nd 0.3900 0.7800 0.0248
Nd 0.2796 0.5591 0.3101
Nd 0.5198 0.0396 0.2430
Dy 0.1158 0.2316 0.3151
Dy 0.8842 0.7684 0.8151
Dy 0.8883 0.7766 0.2370
Dy 0.1117 0.2234 0.7370
Y 0.5911 0.1822 0.9583
Y 0.4089 0.8178 0.4583